## TmTh2Hg (GGA-PBE)

Data for TmTh2Hg after structural relaxation.

```
data_TmTh2Hg
_cell_length_a 4.7819
_cell_length_b 4.7819
_cell_length_c 5.0207
_cell_angle_alpha 90.00
_cell_angle_beta 90.00
_cell_angle_gamma 90.00
_space_group_name_H-M_alt 'P 1'
_space_group_IT_number 1
_space_group_name_Hall 'P 1'
loop_
_atom_site_label
_atom_site_type_symbol
_atom_site_fract_x
_atom_site_fract_y
_atom_site_fract_z
_atom_site_occupancy
Tm1 Tm 0.0000 0.0000 0.0000 1
Th1 Th 0.0000 0.5000 0.5000 1
Th2 Th 0.5000 0.0000 0.5000 1
Hg1 Hg 0.5000 0.5000 0.0000 1
```

Properties
Space group: No. 123
Calculated formation energy (eV/atom): -0.073
E above lowest polymorph (meV/atom): 0